Here is a geometry-optimized KUTi2O8 structure from the Alexandria database. Energies are from PBE.

Energy (eV/atom): -8.334
DOS(E_F) (states/eV/cell): 12.68
ΔE_f (raw) (kJ/mol of atoms): -259
Crystal system: monoclinic

Cell: 8.586 6.351 7.488 Å, 90.00 105.30 90.00°
Space group C2/m (No. 12)
Inequivalent atoms, fractional coordinates:
K1 0.000 0.000 0.000
U1 0.000 0.000 0.500
Ti1 0.044 0.500 0.197
O1 0.017 0.241 0.301
O2 0.145 0.500 0.005
O3 0.229 0.000 0.599

***

Here is a geometry-optimized K4U3TiO12 structure from the Alexandria database. Energies are from PBE.

Energy (eV/atom): -8.093
DOS(E_F) (states/eV/cell): 21.40
ΔE_f (raw) (kJ/mol of atoms): -271
Crystal system: cubic

Cell: 8.448 8.448 8.448 Å, 90.00 90.00 90.00°
Space group Im-3m (No. 229)
Inequivalent atoms, fractional coordinates:
K1 0.250 0.250 0.250
U1 0.000 0.000 0.500
Ti1 0.000 0.000 0.000
O1 0.000 0.000 0.244
O2 0.000 0.250 0.500

***

Which formula does entry 2 have? K4U3TiO12

***

Which of these has the lowest energy? KUTi2O8

***

What is the ΔE_f (raw) in the second record? -271 kJ/mol of atoms

***

Please write out number 1 again, unchanged.
Here is a geometry-optimized KUTi2O8 structure from the Alexandria database. Energies are from PBE.

Energy (eV/atom): -8.334
DOS(E_F) (states/eV/cell): 12.68
ΔE_f (raw) (kJ/mol of atoms): -259
Crystal system: monoclinic

Cell: 8.586 6.351 7.488 Å, 90.00 105.30 90.00°
Space group C2/m (No. 12)
Inequivalent atoms, fractional coordinates:
K1 0.000 0.000 0.000
U1 0.000 0.000 0.500
Ti1 0.044 0.500 0.197
O1 0.017 0.241 0.301
O2 0.145 0.500 0.005
O3 0.229 0.000 0.599